Record 1
Here is a geometry-optimized Ac2Pm4NdHo structure from Alexandria. Energies are from PBE-GGA.

Properties
energy of formation: 0.389 eV/atom
crystal system: orthorhombic
density of states at the Fermi level: 2.3033 states/eV/atom

Lattice parameters (Å, degrees): 9.859 9.859 9.859 137.35 103.75 91.53
Positions (direct):
1 Ac 0.000 0.000 0.000
2 Ac 0.500 0.000 0.000
3 Ac 0.500 0.000 0.500
4 Ac 0.500 0.500 0.500
5 Pm 0.225 0.741 0.484
6 Pm 0.237 0.252 0.516
7 Pm 0.237 0.721 0.984
8 Pm 0.243 0.259 0.984
9 Pm 0.757 0.741 0.016
10 Pm 0.763 0.279 0.016
11 Pm 0.763 0.748 0.484
12 Pm 0.775 0.259 0.516
13 Nd 0.000 0.500 0.500
14 Nd 0.500 0.500 0.000
15 Ho 0.000 0.000 0.500
16 Ho 0.000 0.500 0.000

---

Record 2
Here is a geometry-optimized AcPm2Nd6Ho structure from Alexandria. Energies are from PBE-GGA.

Properties
energy of formation: 0.116 eV/atom
crystal system: monoclinic
density of states at the Fermi level: 1.4461 states/eV/atom

Lattice parameters (Å, degrees): 9.136 9.136 9.838 93.14 93.14 118.10
Positions (direct):
1 Ac 0.024 0.976 0.750
2 Ac 0.976 0.024 0.250
3 Pm 0.201 0.314 0.546
4 Pm 0.314 0.201 0.046
5 Pm 0.686 0.799 0.954
6 Pm 0.799 0.686 0.454
7 Nd 0.013 0.562 0.688
8 Nd 0.129 0.750 0.054
9 Nd 0.250 0.871 0.446
10 Nd 0.290 0.503 0.883
11 Nd 0.438 0.987 0.812
12 Nd 0.497 0.710 0.617
13 Nd 0.503 0.290 0.383
14 Nd 0.562 0.013 0.188
15 Nd 0.710 0.497 0.117
16 Nd 0.750 0.129 0.554
17 Nd 0.871 0.250 0.946
18 Nd 0.987 0.438 0.312
19 Ho 0.411 0.589 0.250
20 Ho 0.589 0.411 0.750

---

Record 3
Here is a geometry-optimized AcPmNd4Ho2 structure from Alexandria. Energies are from PBE-GGA.

Properties
energy of formation: 0.032 eV/atom
crystal system: monoclinic
density of states at the Fermi level: 1.5823 states/eV/atom

Lattice parameters (Å, degrees): 6.367 6.367 10.442 114.25 114.25 48.19
Positions (direct):
1 Ac 0.000 0.000 0.000
2 Pm 0.000 0.000 0.500
3 Nd 0.248 0.248 0.870
4 Nd 0.251 0.251 0.378
5 Nd 0.749 0.749 0.622
6 Nd 0.752 0.752 0.130
7 Ho 0.499 0.499 0.255
8 Ho 0.501 0.501 0.745

---

Q: The lowest energy of formation belongs to which entry?
A: AcPmNd4Ho2